(1)
A plane-wave DFT calculation with PBE was carried out for a relaxed structure of K7Cd4O.

## Properties
Space group: C2/m, No. 12
Formation energy from raw total energies in kJ/mol of atoms: -27.1

Unit cell a=5.335 b=9.287 c=15.676 alpha=140.31 beta=99.80 gamma=90.00
Fractional positions:
O1 0.000 0.000 0.000
K1 0.213 0.073 0.426
K2 0.877 0.578 0.753
K3 0.951 0.135 0.901
K4 0.787 0.927 0.574
K5 0.049 0.865 0.099
K6 0.123 0.422 0.247
K7 0.500 0.000 0.000
Cd1 0.283 0.614 0.565
Cd2 0.717 0.386 0.435
Cd3 0.427 0.376 0.854
Cd4 0.573 0.624 0.146

---

(2)
A plane-wave DFT calculation with PBE was carried out for a relaxed structure of KCdO3.

## Properties
Space group: Pm-3m, No. 221
Formation energy from raw total energies in kJ/mol of atoms: 71.6

Unit cell a=4.383 b=4.383 c=4.383 alpha=90.00 beta=90.00 gamma=90.00
Fractional positions:
O1 0.000 0.500 0.000
O2 0.000 0.000 0.500
O3 0.500 0.000 0.000
Cd1 0.500 0.500 0.500
K1 0.000 0.000 0.000

---

(3)
A plane-wave DFT calculation with PBE was carried out for a relaxed structure of K3Cd2O.

## Properties
Space group: P6_3/mmc, No. 194
Formation energy from raw total energies in kJ/mol of atoms: -42.2

Unit cell a=8.558 b=8.558 c=7.164 alpha=90.00 beta=90.00 gamma=120.00
Fractional positions:
Cd1 0.333 0.667 0.538
Cd2 0.333 0.667 0.962
Cd3 0.667 0.333 0.038
Cd4 0.667 0.333 0.462
K1 0.257 0.129 0.750
K2 0.871 0.743 0.750
K3 0.129 0.871 0.250
K4 0.743 0.871 0.250
K5 0.129 0.257 0.250
K6 0.871 0.129 0.750
O1 0.000 0.000 0.000
O2 0.000 0.000 0.500